[1]
Material: Sc3AgO
Method: DFT, PBE
State: relaxed

Results
energy relative to the elements, uncorrected: -1.17 eV/atom

Structure (extended XYZ):
```
10
Lattice="3.5505 0.0000 0.0000 0.0000 6.5108 0.0000 0.0000 0.0000 8.7415" Properties=species:S:1:pos:R:3 pbc="T T T"
Sc 0.8876 0.0316 1.3222
Sc 0.8876 3.2239 1.3222
Sc 0.8876 4.8831 5.0434
Sc 2.6629 1.6277 3.6980
Sc 2.6629 3.2870 7.4193
Sc 2.6629 6.4793 7.4193
Ag 0.8876 1.6277 6.0159
Ag 2.6629 4.8831 2.7256
O 0.8876 1.6277 2.5907
O 2.6629 4.8831 6.1508
```


[2]
Material: Na2ScW
Method: DFT, PBE
State: relaxed

Results
energy relative to the elements: 1404.7 meV/atom

Structure (extended XYZ):
```
16
Lattice="6.9942 0.0000 0.0000 0.0000 6.9942 0.0000 0.0000 0.0000 6.9942" Properties=species:S:1:pos:R:3 pbc="T T T"
Na 1.7485 1.7485 1.7485
Na 1.7485 1.7485 5.2456
Na 1.7485 5.2456 1.7485
Na 1.7485 5.2456 5.2456
Na 5.2456 1.7485 1.7485
Na 5.2456 1.7485 5.2456
Na 5.2456 5.2456 1.7485
Na 5.2456 5.2456 5.2456
Sc 0.0000 0.0000 0.0000
Sc 0.0000 3.4971 3.4971
Sc 3.4971 0.0000 3.4971
Sc 3.4971 3.4971 0.0000
W 0.0000 0.0000 3.4971
W 0.0000 3.4971 0.0000
W 3.4971 0.0000 0.0000
W 3.4971 3.4971 3.4971
```


[3]
Material: ZnCuAu
Method: DFT, PBE
State: relaxed

Results
energy relative to the elements: -96.0 meV/atom

Structure (extended XYZ):
```
3
Lattice="4.2858 0.0000 0.0000 -2.1429 3.7116 0.0000 0.0000 0.0000 2.8031" Properties=species:S:1:pos:R:3 pbc="T T T"
Zn 0.0000 0.0000 0.0000
Cu 2.1429 1.2372 2.4261
Au 0.0000 2.4744 1.1749
```


[4]
Material: Te2HPb
Method: DFT, PBE
State: relaxed

Results
E_tot: -3.242 eV/atom

Structure (extended XYZ):
```
12
Lattice="4.5811 0.0000 0.0000 -2.2906 3.9674 0.0000 0.0000 0.0000 22.1837" Properties=species:S:1:pos:R:3 pbc="T T T"
Te 0.0000 0.0000 1.9401
Te 0.0000 0.0000 20.2436
Te 0.0000 2.6449 12.8490
Te 0.0000 2.6449 16.7292
Te 2.2906 1.3225 5.4545
Te 2.2906 1.3225 9.3346
H 0.0000 0.0000 0.0000
H 0.0000 2.6449 14.7891
H 2.2906 1.3225 7.3945
Pb 0.0000 0.0000 11.0918
Pb 0.0000 2.6449 3.6973
Pb 2.2906 1.3225 18.4864
```


[5]
Material: Tb6Dy12In
Method: DFT, PBE
State: relaxed

Results
energy relative to the elements: 71.3 meV/atom

Structure (extended XYZ):
```
19
Lattice="5.9095 3.4119 4.9816 -5.9095 3.4119 4.9816 0.0000 -6.8237 4.9816" Properties=species:S:1:pos:R:3 pbc="T T T"
Tb -3.2847 -0.7830 7.7469
Tb -0.9643 -3.2362 7.1979
Tb -2.3205 2.4532 7.1979
Tb 2.3205 -2.4531 7.7469
Tb 0.9643 3.2362 7.7469
Tb 3.2847 0.7830 7.1979
Dy -5.2860 1.4157 6.2417
Dy -3.8690 -3.8700 8.7031
Dy -2.0567 -0.0034 4.6849
Dy 1.4170 -5.2857 6.2417
Dy 1.0313 -1.7794 4.6849
Dy 1.0254 1.7828 4.6849
Dy -1.0254 -1.7828 10.2599
Dy -1.0313 1.7794 10.2599
Dy -1.4170 5.2856 8.7031
Dy 2.0567 0.0034 10.2599
Dy 3.8690 3.8700 6.2417
Dy 5.2860 -1.4157 8.7031
In 0.0000 0.0000 7.4724
```


[6]
Material: CrCdCl
Method: DFT, PBE
State: relaxed

Results
energy relative to the elements, uncorrected: 0.23 eV/atom

Structure (extended XYZ):
```
12
Lattice="6.7225 0.0000 0.0000 0.0000 6.7225 0.0000 0.0000 0.0000 6.7225" Properties=species:S:1:pos:R:3 pbc="T T T"
Cr 0.0000 0.0000 0.0000
Cr 0.0000 3.3613 3.3613
Cr 3.3613 0.0000 3.3613
Cr 3.3613 3.3613 0.0000
Cd 1.6806 1.6806 1.6806
Cd 1.6806 5.0419 5.0419
Cd 5.0419 1.6806 5.0419
Cd 5.0419 5.0419 1.6806
Cl 1.6806 1.6806 5.0419
Cl 1.6806 5.0419 1.6806
Cl 5.0419 1.6806 1.6806
Cl 5.0419 5.0419 5.0419
```


[7]
Material: YTh3Tl4
Method: DFT, PBE
State: relaxed

Results
energy relative to the elements: -117.8 meV/atom

Structure (extended XYZ):
```
16
Lattice="9.8552 0.0000 0.0000 0.0000 6.9275 0.0000 0.0000 0.0000 6.8232" Properties=species:S:1:pos:R:3 pbc="T T T"
Y 0.0000 0.0000 0.0000
Y 4.9276 0.0000 3.4116
Th 0.0000 3.4637 0.0000
Th 2.4638 1.8514 1.7058
Th 2.4638 5.0760 5.1174
Th 4.9276 3.4637 3.4116
Th 7.3914 1.8514 1.7058
Th 7.3914 5.0760 5.1174
Tl 0.0000 0.0000 3.4116
Tl 0.0000 3.4637 3.4116
Tl 2.4638 1.6357 5.1174
Tl 2.4638 5.2917 1.7058
Tl 4.9276 0.0000 0.0000
Tl 4.9276 3.4637 0.0000
Tl 7.3914 1.6357 5.1174
Tl 7.3914 5.2917 1.7058
```


[8]
Material: Li3CoHg
Method: DFT, PBE
State: relaxed

Results
energy relative to the elements: 661.3 meV/atom

Structure (extended XYZ):
```
5
Lattice="4.8484 0.0000 0.0000 0.0000 4.8484 0.0000 0.0000 0.0000 4.8484" Properties=species:S:1:pos:R:3 pbc="T T T"
Li 0.0000 0.0000 2.4242
Li 0.0000 2.4242 0.0000
Li 2.4242 0.0000 0.0000
Co 2.4242 2.4242 2.4242
Hg 0.0000 0.0000 0.0000
```


[9]
Material: CaTlSiTeSeF
Method: DFT, PBE
State: relaxed

Results
energy relative to the elements, uncorrected: -1.23 eV/atom

Structure (extended XYZ):
```
12
Lattice="13.8485 0.0000 0.0000 0.0000 3.9374 0.0000 -1.2766 0.0000 5.9986" Properties=species:S:1:pos:R:3 pbc="T T T"
Ca 0.0000 0.0000 0.0000
Ca 6.9243 1.9687 0.0000
Tl 1.9469 1.9687 3.3938
Tl 8.8711 0.0000 3.3938
Si 4.2754 0.0000 2.3230
Si 11.1997 1.9687 2.3230
Te 3.0828 0.0000 5.7397
Te 10.0071 1.9687 5.7397
Se 5.7828 1.9687 2.8768
Se 12.7070 0.0000 2.8768
F 0.9471 1.9687 0.2318
F 7.8713 0.0000 0.2318
```


[10]
Material: UI3O
Method: DFT, PBE
State: relaxed

Results
energy relative to the elements, uncorrected: -1.41 eV/atom

Structure (extended XYZ):
```
10
Lattice="-3.8498 5.8058 5.5066 3.8498 -5.8058 5.5066 3.8498 5.8058 -5.5066" Properties=species:S:1:pos:R:3 pbc="T T T"
U -1.9249 2.9029 2.7533
U 1.9249 2.9029 2.7533
I 1.9249 5.8064 -2.7533
I 1.9249 0.0006 2.7533
I 0.0000 2.9029 0.3064
I 3.8498 2.9029 5.2002
I -1.9249 5.8052 2.7533
I 1.9249 5.8052 2.7533
O 3.8498 2.9029 1.9666
O 0.0000 2.9029 3.5400
```


[11]
Material: GaHRh3
Method: DFT, PBE
State: relaxed

Results
E_tot: -5.718 eV/atom

Structure (extended XYZ):
```
10
Lattice="4.3272 0.0000 0.0000 -2.1636 3.7475 0.0000 0.0000 0.0000 7.5758" Properties=species:S:1:pos:R:3 pbc="T T T"
Ga 0.0000 2.4983 1.8940
Ga 2.1636 1.2492 5.6819
H 0.0000 0.0000 0.0000
H 0.0000 0.0000 3.7879
Rh 0.0000 0.0000 1.8940
Rh 0.0000 0.0000 5.6819
Rh 0.0000 2.4983 4.3535
Rh 0.0000 2.4983 7.0103
Rh 2.1636 1.2492 0.5655
Rh 2.1636 1.2492 3.2224
```


[12]
Material: Hg2MoAs
Method: DFT, PBE
State: relaxed

Results
energy relative to the elements: 606.9 meV/atom

Structure (extended XYZ):
```
12
Lattice="3.1036 0.0000 0.0000 -1.5518 2.6878 0.0000 0.0000 0.0000 28.5570" Properties=species:S:1:pos:R:3 pbc="T T T"
Hg 0.0000 0.0000 7.0600
Hg 0.0000 0.0000 21.4969
Hg 0.0000 1.7919 11.9779
Hg 0.0000 1.7919 26.0980
Hg 1.5518 0.8959 2.4589
Hg 1.5518 0.8959 16.5790
Mo 0.0000 0.0000 14.2785
Mo 0.0000 1.7919 4.7595
Mo 1.5518 0.8959 23.7975
As 0.0000 0.0000 0.0000
As 0.0000 1.7919 19.0380
As 1.5518 0.8959 9.5190
```


[13]
Material: KTl2Si
Method: DFT, PBE
State: relaxed

Results
energy relative to the elements, uncorrected: 0.24 eV/atom

Structure (extended XYZ):
```
16
Lattice="7.6710 0.0000 0.0000 0.0000 7.6710 0.0000 0.0000 0.0000 7.6710" Properties=species:S:1:pos:R:3 pbc="T T T"
K 0.0000 0.0000 0.0000
K 0.0000 3.8355 3.8355
K 3.8355 0.0000 3.8355
K 3.8355 3.8355 0.0000
Tl 1.9178 1.9178 1.9178
Tl 1.9178 1.9178 5.7533
Tl 1.9178 5.7533 1.9178
Tl 1.9178 5.7533 5.7533
Tl 5.7533 1.9178 1.9178
Tl 5.7533 1.9178 5.7533
Tl 5.7533 5.7533 1.9178
Tl 5.7533 5.7533 5.7533
Si 0.0000 0.0000 3.8355
Si 0.0000 3.8355 0.0000
Si 3.8355 0.0000 0.0000
Si 3.8355 3.8355 3.8355
```


[14]
Material: GeTeNO2
Method: DFT, PBE
State: relaxed

Results
energy relative to the elements, uncorrected: 0.14 eV/atom

Structure (extended XYZ):
```
5
Lattice="4.0685 0.0000 0.0000 0.0000 4.0685 0.0000 0.0000 0.0000 4.1535" Properties=species:S:1:pos:R:3 pbc="T T T"
Ge 0.0000 0.0000 0.0000
Te 2.0343 2.0343 2.0768
N 2.0343 2.0343 0.0000
O 0.0000 2.0343 2.0768
O 2.0343 0.0000 2.0768
```


[15]
Material: ScTiCuRe
Method: DFT, PBE
State: relaxed

Results
energy relative to the elements: -185.1 meV/atom

Structure (extended XYZ):
```
16
Lattice="6.3379 0.0000 0.0000 0.0000 6.3379 0.0000 0.0000 0.0000 6.3379" Properties=species:S:1:pos:R:3 pbc="T T T"
Sc 0.0000 0.0000 0.0000
Sc 0.0000 3.1690 3.1690
Sc 3.1690 0.0000 3.1690
Sc 3.1690 3.1690 0.0000
Ti 0.0000 0.0000 3.1690
Ti 0.0000 3.1690 0.0000
Ti 3.1690 0.0000 0.0000
Ti 3.1690 3.1690 3.1690
Cu 1.5845 1.5845 4.7534
Cu 1.5845 4.7534 1.5845
Cu 4.7534 1.5845 1.5845
Cu 4.7534 4.7534 4.7534
Re 1.5845 1.5845 1.5845
Re 1.5845 4.7534 4.7534
Re 4.7534 1.5845 4.7534
Re 4.7534 4.7534 1.5845
```


[16]
Material: NaTcO3
Method: DFT, PBE
State: relaxed

Results
energy relative to the elements, uncorrected: -1.46 eV/atom

Structure (extended XYZ):
```
10
Lattice="7.2431 -1.4053 0.0000 7.2431 1.4053 0.0000 -1.1669 0.0000 6.7533" Properties=species:S:1:pos:R:3 pbc="T T T"
Na 1.8459 0.0000 2.2245
Na 11.4734 0.0000 4.5288
Tc 5.4968 0.0000 1.3813
Tc 7.8225 0.0000 5.3720
O -0.7348 0.0000 4.9596
O 0.9673 0.0000 6.6952
O 4.2462 0.0000 2.6270
O 9.0731 0.0000 4.1263
O 12.3520 0.0000 0.0581
O 14.0541 0.0000 1.7936
```


[17]
Material: CuSeOF2
Method: DFT, PBE
State: relaxed

Results
energy relative to the elements, uncorrected: -0.40 eV/atom

Structure (extended XYZ):
```
5
Lattice="3.7799 0.0000 0.0000 0.0000 3.7799 0.0000 0.0000 0.0000 4.4264" Properties=species:S:1:pos:R:3 pbc="T T T"
Cu 0.0000 0.0000 0.0000
Se 1.8900 1.8900 2.2132
O 0.0000 0.0000 2.2132
F 0.0000 1.8900 0.0000
F 1.8900 0.0000 0.0000
```


[18]
Material: Dy2MnTc3
Method: DFT, PBE
State: relaxed

Results
energy relative to the elements: -147.4 meV/atom

Structure (extended XYZ):
```
6
Lattice="2.6397 1.5240 4.5634 -2.6397 1.5240 4.5634 0.0000 -3.0481 4.5634" Properties=species:S:1:pos:R:3 pbc="T T T"
Dy 0.0000 0.0000 1.6820
Dy 0.0000 0.0000 12.0083
Mn 0.0000 0.0000 6.8451
Tc -1.3199 -0.7620 4.5634
Tc -1.3199 0.7620 9.1268
Tc 0.0000 1.5240 4.5634
```


[19]
Material: Cu2Ni2Rh
Method: DFT, PBE
State: relaxed

Results
energy relative to the elements: 52.2 meV/atom

Structure (extended XYZ):
```
10
Lattice="8.1254 0.0000 0.0000 0.0000 3.6366 0.0000 -4.0598 0.0000 4.0831" Properties=species:S:1:pos:R:3 pbc="T T T"
Cu 1.1927 0.0000 0.3994
Cu -1.1898 1.8183 3.6838
Cu 5.2554 1.8183 0.3994
Cu 2.8729 0.0000 3.6838
Ni -0.3905 1.8183 1.2315
Ni 0.3935 0.0000 2.8516
Ni 3.6722 0.0000 1.2315
Ni 4.4562 1.8183 2.8516
Rh -2.0299 0.0000 2.0416
Rh 2.0328 1.8183 2.0416
```


[20]
Material: NaZrTlF6
Method: DFT, PBE
State: relaxed

Results
energy relative to the elements, uncorrected: -3.13 eV/atom

Structure (extended XYZ):
```
18
Lattice="5.9995 0.0000 0.0000 -2.9997 5.1957 0.0000 0.0000 0.0000 11.3404" Properties=species:S:1:pos:R:3 pbc="T T T"
Na 0.0000 3.4638 2.8351
Na 2.9997 1.7319 8.5053
Zr 0.0000 3.4638 8.5053
Zr 2.9997 1.7319 2.8351
Tl 0.0000 0.0000 0.0000
Tl 0.0000 0.0000 5.6702
F -0.9744 2.0704 7.3644
F -1.6939 3.3166 9.6462
F 0.9744 2.0704 9.6462
F -0.7195 5.0044 7.3644
F 2.2803 0.1913 1.6942
F 1.3058 1.8791 3.9760
F 1.6939 3.3166 7.3644
F 0.7195 5.0044 9.6462
F 3.7192 0.1913 3.9760
F 2.0253 3.1253 1.6942
F 4.6937 1.8791 1.6942
F 3.9742 3.1253 3.9760
```


[21]
Material: HfTi2Al
Method: DFT, PBE
State: relaxed

Results
energy relative to the elements: -233.8 meV/atom

Structure (extended XYZ):
```
4
Lattice="4.1451 0.0000 0.0000 0.0000 4.1451 0.0000 0.0000 0.0000 4.1515" Properties=species:S:1:pos:R:3 pbc="T T T"
Hf 0.0000 0.0000 0.0000
Ti 0.0000 2.0726 2.0758
Ti 2.0726 0.0000 2.0758
Al 2.0726 2.0726 0.0000
```


[22]
Material: SrAsSe2N
Method: DFT, PBE
State: relaxed

Results
energy relative to the elements, uncorrected: -0.15 eV/atom

Structure (extended XYZ):
```
5
Lattice="5.2767 0.0000 0.0000 0.0000 5.2767 0.0000 0.0000 0.0000 3.9357" Properties=species:S:1:pos:R:3 pbc="T T T"
Sr 0.0000 0.0000 0.0000
As 2.6384 2.6384 1.9679
Se 0.0000 2.6384 1.9679
Se 2.6384 0.0000 1.9679
N 2.6384 2.6384 0.0000
```


[23]
Material: MgZn4Br
Method: DFT, PBE
State: relaxed

Results
energy relative to the elements, uncorrected: 0.07 eV/atom

Structure (extended XYZ):
```
6
Lattice="0.0000 3.8909 3.8909 3.8909 0.0000 3.8909 3.8909 3.8909 0.0000" Properties=species:S:1:pos:R:3 pbc="T T T"
Mg 0.0000 0.0000 0.0000
Zn 4.8814 2.9004 2.9004
Zn 2.9004 4.8814 2.9004
Zn 2.9004 2.9004 4.8814
Zn 4.8814 4.8814 4.8814
Br 1.9455 1.9455 1.9455
```


[24]
Material: Ac2HfIr3O12
Method: DFT, PBE
State: relaxed

Results
energy relative to the elements, uncorrected: -1.74 eV/atom

Structure (extended XYZ):
```
18
Lattice="3.5582 2.0543 5.5153 -3.5582 2.0543 5.5153 0.0000 -4.1087 5.5153" Properties=species:S:1:pos:R:3 pbc="T T T"
Ac 0.0000 0.0000 1.9521
Ac 0.0000 0.0000 14.5938
Hf 0.0000 0.0000 8.2730
Ir -1.7791 -1.0272 5.5153
Ir -1.7791 1.0272 11.0306
Ir 0.0000 2.0543 5.5153
O -1.7662 -1.0197 7.5081
O 0.0000 -1.8115 5.5365
O -1.5688 0.9058 5.5365
O -1.5688 -0.9058 11.0094
O 0.0000 -2.0395 9.0378
O -1.7662 1.0197 9.0378
O 1.7662 -1.0197 7.5081
O 0.0000 2.0395 7.5081
O 1.5688 0.9058 5.5365
O 1.5688 -0.9058 11.0094
O 0.0000 1.8115 11.0094
O 1.7662 1.0197 9.0378
```


Number 1: V 20.2 Å³ per atom. Number 2: V 21.4 Å³ per atom. Number 3: V 14.9 Å³ per atom. Number 4: V 33.6 Å³ per atom. Number 5: V 31.7 Å³ per atom. Number 6: V 25.3 Å³ per atom. Number 7: V 29.1 Å³ per atom. Number 8: V 22.8 Å³ per atom. Number 9: V 27.3 Å³ per atom. Number 10: V 49.2 Å³ per atom. Number 11: V 12.3 Å³ per atom. Number 12: V 19.9 Å³ per atom. Number 13: V 28.2 Å³ per atom. Number 14: V 13.8 Å³ per atom. Number 15: V 15.9 Å³ per atom. Number 16: V 13.7 Å³ per atom. Number 17: V 12.6 Å³ per atom. Number 18: V 18.4 Å³ per atom. Number 19: V 12.1 Å³ per atom. Number 20: V 19.6 Å³ per atom. Number 21: V 17.8 Å³ per atom. Number 22: V 21.9 Å³ per atom. Number 23: V 19.6 Å³ per atom. Number 24: V 13.4 Å³ per atom.